# Ta3OsF | Alexandria | SCAN | single point on PBEsol structure
data_Ta3OsF
_chemical_formula_sum 'Ta3 Os1 F1'
_symmetry_space_group_name_H-M 'P m -3 m'
_symmetry_Int_Tables_number 221
_symmetry_space_group_name_Hall '-P 4 2 3'
_cell_length_a 4.210
_cell_length_b 4.210
_cell_length_c 4.210
_cell_angle_alpha 90.00
_cell_angle_beta 90.00
_cell_angle_gamma 90.00
loop_
_atom_site_label
_atom_site_type_symbol
_atom_site_fract_x
_atom_site_fract_y
_atom_site_fract_z
_atom_site_occupancy
Ta1 Ta 0.000 0.000 0.500 1
Os1 Os 0.500 0.500 0.500 1
F1 F 0.000 0.000 0.000 1
# DOS at the Fermi energy = 3.58 states/eV/f.u.
# magnetization = 0.0 μB per formula unit
# formation energy without anion corrections = 169 meV per atom
# calculated volume = 14.929 A^3/atom

# TaOs2F | Alexandria | SCAN | single point on PBEsol structure
data_TaOs2F
_chemical_formula_sum 'Ta4 Os8 F4'
_symmetry_space_group_name_H-M 'F m -3 m'
_symmetry_Int_Tables_number 225
_symmetry_space_group_name_Hall '-F 4 2 3'
_cell_length_a 6.118
_cell_length_b 6.118
_cell_length_c 6.118
_cell_angle_alpha 90.00
_cell_angle_beta 90.00
_cell_angle_gamma 90.00
loop_
_atom_site_label
_atom_site_type_symbol
_atom_site_fract_x
_atom_site_fract_y
_atom_site_fract_z
_atom_site_occupancy
Ta1 Ta 0.000 0.000 0.000 1
Os1 Os 0.250 0.250 0.250 1
F1 F 0.000 0.000 0.500 1
# DOS at the Fermi energy = 4.41 states/eV/f.u.
# magnetization = 0.0 μB per formula unit
# formation energy without anion corrections = 306 meV per atom
# calculated volume = 14.312 A^3/atom

# TcOsF3 | Alexandria | SCAN | single point on PBEsol structure
data_TcOsF3
_chemical_formula_sum 'Tc1 Os1 F3'
_symmetry_space_group_name_H-M 'P m -3 m'
_symmetry_Int_Tables_number 221
_symmetry_space_group_name_Hall '-P 4 2 3'
_cell_length_a 4.154
_cell_length_b 4.154
_cell_length_c 4.154
_cell_angle_alpha 90.00
_cell_angle_beta 90.00
_cell_angle_gamma 90.00
loop_
_atom_site_label
_atom_site_type_symbol
_atom_site_fract_x
_atom_site_fract_y
_atom_site_fract_z
_atom_site_occupancy
Tc1 Tc 0.000 0.000 0.000 1
Os1 Os 0.500 0.500 0.500 1
F1 F 0.000 0.500 0.500 1
# DOS at the Fermi energy = 2.61 states/eV/f.u.
# magnetization = 4.8 μB per formula unit
# formation energy without anion corrections = 86 meV per atom
# calculated volume = 14.340 A^3/atom

# TcOsF2 | Alexandria | SCAN | single point on PBEsol structure
data_TcOsF2
_chemical_formula_sum 'Tc3 Os3 F6'
_symmetry_space_group_name_H-M 'R -3 m'
_symmetry_Int_Tables_number 166
_symmetry_space_group_name_Hall '-R 3 2"'
_cell_length_a 2.6016
_cell_length_b 2.6016
_cell_length_c 28.9079
_cell_angle_alpha 90.00
_cell_angle_beta 90.00
_cell_angle_gamma 120.00
loop_
_atom_site_label
_atom_site_type_symbol
_atom_site_fract_x
_atom_site_fract_y
_atom_site_fract_z
_atom_site_occupancy
Tc1 Tc 0.0000 0.0000 0.0000 1
Os1 Os 0.0000 0.0000 0.5000 1
F1 F 0.0000 0.0000 0.0644 1
# DOS at the Fermi energy = 2.23 states/eV/f.u.
# magnetization = 0.9 μB per formula unit
# formation energy without anion corrections = -401 meV per atom
# calculated volume = 14.120 A^3/atom

# Te2OsF | Alexandria | SCAN | single point on PBEsol structure
data_Te2OsF
_chemical_formula_sum 'Te6 Os3 F3'
_symmetry_space_group_name_H-M 'R -3 m'
_symmetry_Int_Tables_number 166
_symmetry_space_group_name_Hall '-R 3 2"'
_cell_length_a 3.0126
_cell_length_b 3.0126
_cell_length_c 28.0844
_cell_angle_alpha 90.00
_cell_angle_beta 90.00
_cell_angle_gamma 120.00
loop_
_atom_site_label
_atom_site_type_symbol
_atom_site_fract_x
_atom_site_fract_y
_atom_site_fract_z
_atom_site_occupancy
Te1 Te 0.0000 0.0000 0.0913 1
Os1 Os 0.0000 0.0000 0.0000 1
F1 F 0.0000 0.0000 0.5000 1
# DOS at the Fermi energy = 3.41 states/eV/f.u.
# magnetization = 0.0 μB per formula unit
# formation energy without anion corrections = 203 meV per atom
# calculated volume = 18.394 A^3/atom

# ZnOsF2 | Alexandria | SCAN | single point on PBEsol structure
data_ZnOsF2
_chemical_formula_sum 'Zn4 Os4 F8'
_symmetry_space_group_name_H-M 'F m -3 m'
_symmetry_Int_Tables_number 225
_symmetry_space_group_name_Hall '-F 4 2 3'
_cell_length_a 5.811
_cell_length_b 5.811
_cell_length_c 5.811
_cell_angle_alpha 90.00
_cell_angle_beta 90.00
_cell_angle_gamma 90.00
loop_
_atom_site_label
_atom_site_type_symbol
_atom_site_fract_x
_atom_site_fract_y
_atom_site_fract_z
_atom_site_occupancy
Zn1 Zn 0.000 0.000 0.000 1
Os1 Os 0.000 0.000 0.500 1
F1 F 0.250 0.250 0.250 1
# DOS at the Fermi energy = 0.65 states/eV/f.u.
# magnetization = 2.9 μB per formula unit
# formation energy without anion corrections = 45 meV per atom
# calculated volume = 12.262 A^3/atom

# Zn3OsF | Alexandria | SCAN | single point on PBEsol structure
data_Zn3OsF
_chemical_formula_sum 'Zn3 Os1 F1'
_symmetry_space_group_name_H-M 'P m -3 m'
_symmetry_Int_Tables_number 221
_symmetry_space_group_name_Hall '-P 4 2 3'
_cell_length_a 4.755
_cell_length_b 4.755
_cell_length_c 4.755
_cell_angle_alpha 90.00
_cell_angle_beta 90.00
_cell_angle_gamma 90.00
loop_
_atom_site_label
_atom_site_type_symbol
_atom_site_fract_x
_atom_site_fract_y
_atom_site_fract_z
_atom_site_occupancy
Zn1 Zn 0.000 0.000 0.500 1
Os1 Os 0.000 0.000 0.000 1
F1 F 0.500 0.500 0.500 1
# DOS at the Fermi energy = 5.44 states/eV/f.u.
# magnetization = 1.5 μB per formula unit
# formation energy without anion corrections = 577 meV per atom
# calculated volume = 21.496 A^3/atom

# Zn2OsF2 | Alexandria | SCAN | single point on PBEsol structure
data_Zn2OsF2
_chemical_formula_sum 'Zn4 Os2 F4'
_symmetry_space_group_name_H-M 'I 4/m m m'
_symmetry_Int_Tables_number 139
_symmetry_space_group_name_Hall '-I 4 2'
_cell_length_a 4.507
_cell_length_b 4.507
_cell_length_c 6.409
_cell_angle_alpha 90.00
_cell_angle_beta 90.00
_cell_angle_gamma 90.00
loop_
_atom_site_label
_atom_site_type_symbol
_atom_site_fract_x
_atom_site_fract_y
_atom_site_fract_z
_atom_site_occupancy
Zn1 Zn 0.000 0.500 0.250 1
Os1 Os 0.000 0.000 0.000 1
F1 F 0.000 0.000 0.324 1
# DOS at the Fermi energy = 2.90 states/eV/f.u.
# magnetization = 0.6 μB per formula unit
# formation energy without anion corrections = -218 meV per atom
# calculated volume = 13.019 A^3/atom